(1)
Entry from Alexandria: a relaxed structure of SrCo4Pt (PBE-GGA).

Space-group type: F-43m, No. 216
Calculated formation energy (meV per atom): 208

Cell and atoms, written as POSCAR:
```
SrCo4Pt
1.0
0.000 3.551 3.551
3.551 0.000 3.551
3.551 3.551 0.000
Co Pt Sr
4 1 1
direct
0.376 0.872 0.376
0.376 0.376 0.872
0.376 0.376 0.376
0.872 0.376 0.376
0.750 0.750 0.750
0.000 0.000 0.000
```

(2)
Entry from Alexandria: a relaxed structure of TaGeAu2 (PBE-GGA).

Space-group type: I-42d, No. 122
Calculated formation energy (meV per atom): 202

Cell and atoms, written as POSCAR:
```
TaGeAu2
1.0
-0.754 -7.168 -1.796
2.940 -1.948 6.538
-1.387 -4.575 3.481
Ge Ta Au
2 2 4
direct
0.250 0.750 0.500
0.500 0.500 0.000
0.750 0.250 0.500
0.000 0.000 0.000
0.608 0.125 0.250
0.142 0.625 0.250
0.375 0.392 0.750
0.875 0.858 0.750
```

(3)
Entry from Alexandria: a relaxed structure of K4Re (PBE-GGA).

Space-group type: Pm-3m, No. 221
Calculated formation energy (meV per atom): 1257

Cell and atoms, written as POSCAR:
```
K4Re
1.0
-4.709 1.458 -4.541
-4.636 -2.896 3.877
-1.119 5.865 3.044
K Re
4 1
direct
0.500 0.000 0.500
0.000 0.000 0.000
0.500 0.500 0.000
0.000 0.500 0.500
0.500 0.500 0.500
```

(4)
Entry from Alexandria: a relaxed structure of MgCd2P (PBE-GGA).

Space-group type: Fm-3m, No. 225
Calculated formation energy (meV per atom): 206

Cell and atoms, written as POSCAR:
```
MgCd2P
1.0
3.766 -0.795 -3.066
2.922 -3.904 0.653
-0.164 -3.754 -3.177
Cd P Mg
2 1 1
direct
0.250 0.250 0.250
0.750 0.750 0.750
0.500 0.500 0.500
0.000 0.000 0.000
```

(5)
Entry from Alexandria: a relaxed structure of ZrSbAs2 (PBE-GGA).

Formation energy without anion corrections (meV/atom): -218
Space-group type: I-4m2, No. 119

Cell and atoms, written as POSCAR:
```
ZrSbAs2
1.0
-0.751 -5.055 -2.670
4.612 -3.048 -1.637
-1.917 2.691 4.725
Zr As Sb
1 2 1
direct
0.750 0.250 0.500
0.250 0.750 0.500
0.000 0.000 0.000
0.500 0.500 0.000
```

(6)
Entry from Alexandria: a relaxed structure of KGaPt2Cl (PBE-GGA).

Formation energy without anion corrections (meV/atom): 421
Space-group type: P4/mmm, No. 123

Cell and atoms, written as POSCAR:
```
KGaPt2Cl
1.0
-3.708 -2.906 -0.613
-0.174 -0.897 5.302
-2.966 3.674 0.524
Ga Pt K Cl
1 2 1 1
direct
0.500 0.500 0.500
0.500 0.000 0.000
0.000 0.000 0.500
0.000 0.500 0.000
0.000 0.000 0.000
```

Number 1: total energy -5.82 eV per atom. Number 2: total energy -5.55 eV per atom. Number 3: total energy -2.11 eV per atom. Number 4: total energy -2.00 eV per atom. Number 5: total energy -5.71 eV per atom. Number 6: total energy -3.19 eV per atom.